[1]
## MgAgSb2Au (PBE)

Data for a geometry-optimized MgAgSb2Au structure.

Values from the calculation:
* energy relative to the lowest polymorph listed for this composition: 0.0 meV/atom

Unit cell a=5.3806 b=5.1555 c=5.3806 alpha=90.00 beta=90.00 gamma=90.00
Last column: nearest neighbours and their distance in Å.
Fractional positions:
Sb: 0.0000 0.0000 0.5000  2 Au 2.69
Sb: 0.5000 0.0000 0.0000  2 Au 2.69
Mg: 0.5000 0.5000 0.5000  8 Sb 3.73, 4 Ag 3.80
Au: 0.0000 0.0000 0.0000  2 Ag 2.58, 4 Sb 2.69
Ag: 0.0000 0.5000 0.0000  2 Au 2.58

---

[2]
## PuPa2Co4Ge3 (PBE)

Data for a geometry-optimized PuPa2Co4Ge3 structure.

Unit cell a=4.1885 b=4.1885 c=9.5218 alpha=90.00 beta=90.00 gamma=90.00
Last column: nearest neighbours and their distance in Å.
Fractional positions:
Pu: 0.5000 0.5000 0.5000  4 Co 2.46
Pa: 0.5000 0.0000 0.2307  8 Co 3.03-3.22, 7 Ge 3.13-3.37, 2 Pu 3.31
Pa: 0.0000 0.5000 0.7693  8 Co 3.03-3.22, 7 Ge 3.13-3.37, 2 Pu 3.31
Co: 0.5000 0.5000 0.0000  4 Ge 2.40
Co: 0.0000 0.0000 0.0000  4 Ge 2.40
Co: 0.5000 0.0000 0.6360  3 Ge 2.29-2.46, 2 Pu 2.46
Co: 0.0000 0.5000 0.3640  3 Ge 2.29-2.46, 2 Pu 2.46
Ge: 0.0000 0.0000 0.5000  4 Co 2.46
Ge: 0.5000 0.0000 0.8766  5 Co 2.29-2.40
Ge: 0.0000 0.5000 0.1234  5 Co 2.29-2.40

---

[3]
## ScFe3 (PBE)

Data for a geometry-optimized ScFe3 structure.

Unit cell a=4.8178 b=4.8178 c=4.8178 alpha=90.00 beta=90.00 gamma=90.00
Last column: nearest neighbours and their distance in Å.
Fractional positions:
Sc: 0.0000 0.0000 0.0000  12 Fe 2.69
Sc: 0.5000 0.5000 0.5000  12 Fe 2.69
Fe: 0.0000 0.2500 0.5000  2 Fe 2.41, 4 Sc 2.69
Fe: 0.0000 0.7500 0.5000  2 Fe 2.41, 4 Sc 2.69
Fe: 0.2500 0.5000 0.0000  2 Fe 2.41, 4 Sc 2.69
Fe: 0.5000 0.0000 0.2500  2 Fe 2.41, 4 Sc 2.69
Fe: 0.5000 0.0000 0.7500  2 Fe 2.41, 4 Sc 2.69
Fe: 0.7500 0.5000 0.0000  2 Fe 2.41, 4 Sc 2.69

---

Calculated values (eV per atom) of total DFT energy (no corrections) for the records, taken in order: -2.77; -7.99; -7.82.